Model a:
VASP calculation (PBE) on a relaxed PuPa2Bi crystal.

Mass density ... 14.93 g/cm³
Space-group type ... No. 123

Lattice parameters (Å, degrees): 4.790 4.610 4.610 90.00 90.00 90.00
Each line ends with the local moment (μB).
Sites, in units of the cell vectors:
Pa: 0.000 0.000 0.500  0.04
Pa: 0.000 0.500 0.000  0.04
Bi: 0.500 0.500 0.500  -0.03
Pu: 0.500 0.000 0.000  5.12

=====

Model b:
VASP calculation (PBE) on a relaxed PuPa2Bi crystal.

Mass density ... 14.73 g/cm³
Space-group type ... No. 123

Lattice parameters (Å, degrees): 3.934 3.934 6.667 90.00 90.00 90.00
Each line ends with the local moment (μB).
Sites, in units of the cell vectors:
Pa: 0.000 0.000 0.274  0.47
Pa: 0.000 0.000 0.726  0.47
Pu: 0.500 0.500 0.500  5.17
Bi: 0.500 0.500 0.000  -0.03

=====

What should be chosen as the most stable of them? Choose model a.

=====

Model a:
VASP calculation (PBE) on a relaxed PuPaBiSb crystal.

Mass density ... 10.71 g/cm³
Space-group type ... No. 123

Lattice parameters (Å, degrees): 4.452 4.452 6.301 90.00 90.00 90.00
Each line ends with the local moment (μB).
Sites, in units of the cell vectors:
Pa: 0.500 0.500 0.000  0.85
Bi: 0.500 0.500 0.500  -0.09
Pu: 0.000 0.000 0.500  5.32
Sb: 0.000 0.000 0.000  -0.04

=====

Model b:
VASP calculation (PBE) on a relaxed PuPaBiSb crystal.

Mass density ... 12.17 g/cm³
Space-group type ... No. 216

Lattice parameters (Å, degrees): 5.377 5.377 5.377 60.00 60.00 60.00
Each line ends with the local moment (μB).
Sites, in units of the cell vectors:
Bi: 0.000 0.000 0.000  -0.12
Sb: 0.500 0.500 0.500  -0.09
Pu: 0.750 0.750 0.750  5.47
Pa: 0.250 0.250 0.250  0.91

=====

What should be chosen as the most stable of them? Choose model a.

=====

Model a:
VASP calculation (PBE) on a relaxed PuPaBiTe crystal.

Mass density ... 12.16 g/cm³
Space-group type ... No. 216

Lattice parameters (Å, degrees): 5.392 5.392 5.392 60.00 60.00 60.00
Each line ends with the local moment (μB).
Sites, in units of the cell vectors:
Pu: 0.000 0.000 0.000  5.62
Bi: 0.750 0.750 0.750  -0.12
Te: 0.250 0.250 0.250  -0.09
Pa: 0.500 0.500 0.500  1.45

=====

Model b:
VASP calculation (PBE) on a relaxed PuPaBiTe crystal.

Mass density ... 10.62 g/cm³
Space-group type ... No. 160

Lattice parameters (Å, degrees): 4.275 4.274 8.390 90.00 104.76 119.99
Each line ends with the local moment (μB).
Sites, in units of the cell vectors:
Te: 0.968 0.382 0.366  -0.07
Bi: 0.303 0.550 0.868  -0.10
Pu: 0.137 0.966 0.118  5.54
Pa: 0.470 0.133 0.618  1.48

=====

What should be chosen as the most stable of them? Choose model a.